# TcW2F (PBE with a Hubbard U, relaxed)
# DOS at the Fermi energy	9.0	states/eV/cell
# E	-95.15	eV per cell
# M_tot	0.13	μB/atom
data_TcW2F
_symmetry_space_group_name_H-M 'I -4 2 d'
_symmetry_Int_Tables_number 122
_symmetry_space_group_name_Hall 'I -4 2bw'
_cell_length_a 6.4366
_cell_length_b 6.4366
_cell_length_c 5.9645
_cell_angle_alpha 90.00
_cell_angle_beta 90.00
_cell_angle_gamma 90.00
loop_
_atom_site_label
_atom_site_fract_x
_atom_site_fract_y
_atom_site_fract_z
Tc1 0.0000 0.0000 0.0000
W1 0.2095 0.2500 0.6250
F1 0.0000 0.0000 0.5000